VASP calculation (SCAN) on a PBEsol-optimized structure of Al3FeC.

Unit cell a=4.3878 b=4.3878 c=4.3878 alpha=90.00 beta=90.00 gamma=90.00
Closest atoms and distances in Å follow each position.
Fractional positions:
C1 0.5000 0.5000 0.5000  12 Al 3.10
Al1 0.0000 0.5000 0.0000  2 Fe 2.19
Fe1 0.0000 0.0000 0.0000  6 Al 2.19
Al2 0.5000 0.0000 0.0000  2 Fe 2.19
Al3 0.0000 0.0000 0.5000  2 Fe 2.19

Calculated values
ΔH_f (0 K) = 1.3311 eV per atom
symmetry = Pm-3m (221)


VASP calculation (SCAN) on a PBEsol-optimized structure of SrSc2Ni.

Unit cell a=3.7316 b=4.8082 c=4.9843 alpha=90.00 beta=90.00 gamma=90.00
Closest atoms and distances in Å follow each position.
Fractional positions:
Sc1 0.5000 0.5000 0.0000  4 Sc 3.04, 4 Ni 3.11
Sc2 0.0000 0.0000 0.0000  4 Sc 3.04, 4 Sr 3.11
Ni1 0.0000 0.5000 0.5000  4 Sr 3.04, 4 Sc 3.11
Sr1 0.5000 0.0000 0.5000  4 Ni 3.04, 4 Sc 3.11

Calculated values
ΔH_f (0 K) = 0.3901 eV per atom
symmetry = Pmmm (47)


VASP calculation (SCAN) on a PBEsol-optimized structure of MoRu5.

Unit cell a=2.7060 b=5.0608 c=6.3628 alpha=103.11 beta=90.00 gamma=105.51
Closest atoms and distances in Å follow each position.
Fractional positions:
Ru1 0.3321 0.6642 0.6649  10 Ru 2.63-2.71, 2 Mo 2.72
Ru2 0.3876 0.7751 0.2792  10 Ru 2.63-2.71, 2 Mo 2.67
Ru3 0.0548 0.1097 0.6102  11 Ru 2.64-2.73, 1 Mo 2.65
Ru4 0.7243 0.4485 0.9447  3 Mo 2.63-2.66, 9 Ru 2.64-2.73
Ru5 0.6679 0.3358 0.3358  10 Ru 2.63-2.71, 2 Mo 2.73
Mo1 0.0000 0.0001 0.9985  10 Ru 2.63-2.73, 2 Mo 2.71

Calculated values
ΔH_f (0 K) = -0.0138 eV per atom
symmetry = Cm (8)


VASP calculation (SCAN) on a PBEsol-optimized structure of LiAgPt2.

Unit cell a=2.7873 b=4.5729 c=5.3021 alpha=115.55 beta=105.24 gamma=90.00
Closest atoms and distances in Å follow each position.
Fractional positions:
Pt1 0.2384 0.2384 0.4768  2 Li 2.59, 6 Pt 2.69-2.79, 2 Ag 2.77
Pt2 0.7616 0.7616 0.5232  2 Li 2.59, 6 Pt 2.69-2.79, 2 Ag 2.77
Ag1 0.0000 0.5000 0.0000  4 Li 2.68, 4 Pt 2.77, 2 Ag 2.79
Li1 0.5000 0.0000 0.0000  4 Pt 2.59, 4 Ag 2.68, 2 Li 2.79

Calculated values
ΔH_f (0 K) = -0.3377 eV per atom
symmetry = Immm (71)